Below is a relaxed K7Rb2Na2 crystal, with properties calculated at the PBE level.

Unit cell a=10.758 b=12.687 c=11.443 alpha=90.00 beta=104.08 gamma=90.00
Space group C2/m (No. 12)
Unique sites:
K  0.000  0.000  0.000
K  0.128  0.000  0.383
K  0.205  0.315  0.171
Rb  0.000  0.319  0.500
Na  0.114  0.500  0.850

Formation enthalpy at 0 K ... 0.022 eV/atom
Polymorph energy (0 for the lowest one) ... 0 meV/atom